## i
Li3MnAs: optimized geometry, PBE-GGA.

Geometry as CIF:
```
data_Li3MnAs
_chemical_formula_sum 'Li3 Mn1 As1'
_space_group_name_H-M_alt 'P m -3 m'
_space_group_IT_number 221
_space_group_name_Hall '-P 4 2 3'
_cell_length_a 4.791
_cell_length_b 4.791
_cell_length_c 4.791
_cell_angle_alpha 90.00
_cell_angle_beta 90.00
_cell_angle_gamma 90.00
loop_
_atom_site_label
_atom_site_type_symbol
_atom_site_fract_x
_atom_site_fract_y
_atom_site_fract_z
Li1 Li 0.000 0.000 0.500
Mn1 Mn 0.500 0.500 0.500
As1 As 0.000 0.000 0.000
```

## ii
Li3MnAs: optimized geometry, PBE-GGA.

Geometry as CIF:
```
data_Li3MnAs
_chemical_formula_sum 'Li3 Mn1 As1'
_space_group_name_H-M_alt 'P m -3 m'
_space_group_IT_number 221
_space_group_name_Hall '-P 4 2 3'
_cell_length_a 4.700
_cell_length_b 4.700
_cell_length_c 4.700
_cell_angle_alpha 90.00
_cell_angle_beta 90.00
_cell_angle_gamma 90.00
loop_
_atom_site_label
_atom_site_type_symbol
_atom_site_fract_x
_atom_site_fract_y
_atom_site_fract_z
Li1 Li 0.000 0.000 0.500
Mn1 Mn 0.000 0.000 0.000
As1 As 0.500 0.500 0.500
```

Least stable: ii